[1]
The following is a DFT calculation (PBE) of crystalline La3Ge3Au at its relaxed geometry.

Lattice parameters (Å, degrees): 4.294 4.449 10.087 102.74 102.29 90.00
Positions (direct):
La 0.683 0.183 0.366
La 0.003 0.003 0.006
La 0.315 0.815 0.631
Ge 0.565 0.565 0.130
Ge 0.853 0.353 0.707
Ge 0.147 0.647 0.294
Au 0.433 0.433 0.867

Spin magnetization, Bohr magnetons per cell: 0.38
SG: Imm2, No. 44
D(E_F), states/eV per atom: 0.840
ΔH_f (0 K), kJ per mole of atoms: -79


[2]
The following is a DFT calculation (PBE) of crystalline Ba2TlRh at its relaxed geometry.

Lattice parameters (Å, degrees): 9.509 9.509 9.509 26.50 26.50 26.50
Positions (direct):
Ba 0.731 0.731 0.731
Ba 0.269 0.269 0.269
Rh 0.000 0.000 0.000
Tl 0.500 0.500 0.500

E above lowest polymorph, meV per atom: 160
Spin magnetization, Bohr magnetons per cell: 0.00
SG: R-3m, No. 166
D(E_F), states/eV per atom: 0.736
ΔH_f (0 K), kJ per mole of atoms: -9


[3]
The following is a DFT calculation (PBE) of crystalline AcSmIrPt at its relaxed geometry.

Lattice parameters (Å, degrees): 4.049 4.435 5.954 90.00 109.88 90.00
Positions (direct):
Pt 0.584 0.500 0.167
Sm 0.864 0.500 0.728
Ac 0.142 0.000 0.284
Ir 0.410 0.000 0.821

E above lowest polymorph, meV per atom: 0
Spin magnetization, Bohr magnetons per cell: 0.00
SG: Amm2, No. 38
D(E_F), states/eV per atom: 0.511
ΔH_f (0 K), kJ per mole of atoms: -85


[4]
The following is a DFT calculation (PBE) of crystalline Sc2PtBr at its relaxed geometry.

Lattice parameters (Å, degrees): 3.281 3.462 7.772 89.99 90.00 90.00
Positions (direct):
Br 0.500 0.250 0.250
Pt 0.500 0.750 0.750
Sc 0.000 0.250 0.550
Sc 0.000 0.250 0.950

E above lowest polymorph, meV per atom: 50
Spin magnetization, Bohr magnetons per cell: 0.00
SG: Pmmm, No. 47
Uncorrected formation energy, meV/atom: -1046
D(E_F), states/eV per atom: 0.615


[5]
The following is a DFT calculation (PBE) of crystalline Zn5Os at its relaxed geometry.

Lattice parameters (Å, degrees): 4.930 4.930 4.930 60.00 60.00 60.00
Positions (direct):
Zn 0.626 0.626 0.626
Zn 0.250 0.250 0.250
Zn 0.123 0.626 0.626
Zn 0.626 0.123 0.626
Zn 0.626 0.626 0.123
Os 0.000 0.000 0.000

E above lowest polymorph, meV per atom: 158
Spin magnetization, Bohr magnetons per cell: 0.00
SG: F-43m, No. 216
D(E_F), states/eV per atom: 0.390
ΔH_f (0 K), kJ per mole of atoms: 23


[6]
The following is a DFT calculation (PBE) of crystalline Cd3Si23 at its relaxed geometry.

Lattice parameters (Å, degrees): 10.242 10.242 10.242 90.00 90.00 90.00
Positions (direct):
Si 0.184 0.184 0.816
Si 0.816 0.816 0.184
Si 0.500 0.383 0.192
Si 0.192 0.500 0.383
Si 0.000 0.500 0.750
Si 0.816 0.184 0.816
Si 0.808 0.500 0.383
Si 0.750 0.000 0.500
Si 0.383 0.192 0.500
Si 0.500 0.383 0.808
Si 0.117 0.000 0.308
Si 0.816 0.816 0.816
Si 0.883 0.000 0.308
Si 0.684 0.316 0.684
Si 0.316 0.684 0.316
Si 0.808 0.500 0.617
Si 0.617 0.192 0.500
Si 0.000 0.308 0.883
Si 0.816 0.184 0.184
Si 0.383 0.808 0.500
Si 0.000 0.692 0.883
Si 0.684 0.684 0.684
Si 0.692 0.883 0.000
Si 0.684 0.684 0.316
Si 0.192 0.500 0.617
Si 0.316 0.684 0.684
Si 0.617 0.808 0.500
Si 0.184 0.816 0.184
Si 0.308 0.117 0.000
Si 0.692 0.117 0.000
Si 0.250 0.000 0.500
Si 0.500 0.750 0.000
Si 0.500 0.250 0.000
Si 0.684 0.316 0.316
Si 0.000 0.692 0.117
Si 0.000 0.500 0.250
Si 0.184 0.816 0.816
Si 0.184 0.184 0.184
Si 0.000 0.308 0.117
Si 0.316 0.316 0.316
Si 0.316 0.316 0.684
Si 0.308 0.883 0.000
Si 0.117 0.000 0.692
Si 0.883 0.000 0.692
Si 0.500 0.617 0.192
Si 0.500 0.617 0.808
Cd 0.250 0.500 0.000
Cd 0.000 0.250 0.500
Cd 0.000 0.750 0.500
Cd 0.750 0.500 0.000
Cd 0.500 0.000 0.750
Cd 0.500 0.000 0.250

Spin magnetization, Bohr magnetons per cell: 0.00
SG: Pm-3n, No. 223
Uncorrected formation energy, meV/atom: 84
D(E_F), states/eV per atom: 0.076


[7]
The following is a DFT calculation (PBE) of crystalline NdAl4Pt8 at its relaxed geometry.

Lattice parameters (Å, degrees): 5.432 6.813 6.813 80.86 66.51 66.51
Positions (direct):
Pt 0.000 0.335 0.665
Pt 0.726 0.774 0.774
Pt 0.500 0.226 0.774
Pt 0.500 0.774 0.226
Pt 0.665 0.335 0.335
Pt 0.000 0.665 0.335
Pt 0.274 0.226 0.226
Pt 0.335 0.665 0.665
Al 0.500 0.500 0.000
Al 0.000 0.500 0.000
Al 0.500 0.000 0.500
Al 0.000 0.000 0.500
Nd 0.000 0.000 0.000

Spin magnetization, Bohr magnetons per cell: 0.00
SG: I4/mmm, No. 139
D(E_F), states/eV per atom: 0.512
ΔH_f (0 K), kJ per mole of atoms: -89


[8]
The following is a DFT calculation (PBE) of crystalline Ba4ReSi at its relaxed geometry.

Lattice parameters (Å, degrees): 6.893 6.893 6.893 60.00 60.00 60.00
Positions (direct):
Ba 0.375 0.375 0.876
Ba 0.876 0.375 0.375
Ba 0.375 0.876 0.375
Ba 0.375 0.375 0.375
Re 0.750 0.750 0.750
Si 0.000 0.000 0.000

Spin magnetization, Bohr magnetons per cell: 2.85
SG: F-43m, No. 216
Uncorrected formation energy, meV/atom: 1381
D(E_F), states/eV per atom: 1.306


> Which of these has the highest spin magnetization?

Ba4ReSi